La2Ga2NiPd3, relaxed, DFT GGA-PBE; SG = P3m1; spin magnetization = 0.0 μB/f.u.; VASP energy = -0.1978 Ha/atom
1.0
4.4096 0.0000 0.0000
-2.2048 3.8188 0.0000
0.0000 0.0000 9.6533
La Ga Ni Pd
2 2 1 3
Direct
0.0000 0.0000 0.0000
0.3333 0.6667 0.5102
0.6667 0.3333 0.2548
0.6667 0.3333 0.7448
0.0000 0.0000 0.7004
0.0000 0.0000 0.3249
0.3333 0.6667 0.1832
0.3333 0.6667 0.8183

---

Dy2Ho2CICl4, relaxed, DFT GGA-PBE; SG = C2/m; spin magnetization = 0.0 μB/f.u.; VASP energy = -0.1921 Ha/atom
1.0
8.4747 -1.8976 0.0000
8.4747 1.8976 0.0000
-2.0205 0.0000 8.2317
Dy Ho C I Cl
2 2 1 1 4
Direct
0.0011 0.0011 0.3086
0.9989 0.9989 0.6914
0.3563 0.3563 0.4260
0.6437 0.6437 0.5740
0.5000 0.5000 0.5000
0.5000 0.5000 0.0000
0.1656 0.1656 0.8063
0.1717 0.1717 0.3589
0.8283 0.8283 0.6411
0.8344 0.8344 0.1937

---

HfHgAu, relaxed, DFT GGA-PBE; SG = P4/mmm; spin magnetization = 0.1 μB/f.u.; VASP energy = -0.1717 Ha/atom; formation energy = -15.9 kJ/mol of atoms
1.0
3.4738 0.0000 0.0000
0.0000 3.4738 0.0000
0.0000 0.0000 9.8494
Hf Hg Au
2 2 2
Direct
0.0000 0.0000 0.0000
0.5000 0.5000 0.5000
0.0000 0.0000 0.3223
0.0000 0.0000 0.6777
0.5000 0.5000 0.1555
0.5000 0.5000 0.8445

---

RbTbSbTe3, relaxed, DFT GGA-PBE; SG = Cmcm; spin magnetization = 0.0 μB/f.u.; VASP energy = -0.1437 Ha/atom
1.0
2.2328 -8.7884 0.0000
2.2328 8.7884 0.0000
0.0000 0.0000 11.6078
Rb Tb Sb Te
2 2 2 6
Direct
0.2372 0.7628 0.7500
0.7628 0.2372 0.2500
0.0000 0.0000 0.0000
0.0000 0.0000 0.5000
0.4603 0.5397 0.2500
0.5397 0.4603 0.7500
0.0900 0.9100 0.2500
0.3747 0.6253 0.0298
0.3747 0.6253 0.4702
0.6253 0.3747 0.5298
0.6253 0.3747 0.9702
0.9100 0.0900 0.7500

---

CuHgB2, relaxed, DFT GGA-PBE; SG = F-43m; VASP energy = -0.0975 Ha/atom
1.0
0.0000 2.9557 2.9557
2.9557 0.0000 2.9557
2.9557 2.9557 0.0000
Cu Hg B
1 1 2
Direct
0.0000 0.0000 0.0000
0.2500 0.2500 0.2500
0.5000 0.5000 0.5000
0.7500 0.7500 0.7500

---

YMg2Zn, relaxed, DFT GGA-PBE; SG = F-43m; spin magnetization = 0.0 μB/f.u.; VASP energy = -0.1063 Ha/atom
1.0
0.0000 3.5187 3.5187
3.5187 0.0000 3.5187
3.5187 3.5187 0.0000
Y Mg Zn
1 2 1
Direct
0.0000 0.0000 0.0000
0.5000 0.5000 0.5000
0.7500 0.7500 0.7500
0.2500 0.2500 0.2500

---

TbScCS, relaxed, DFT GGA-PBE; energy above the lowest structure with this stoichiometry = 7 meV per atom; SG = P-3m1; spin magnetization = 0.0 μB/f.u.; VASP energy = -0.2687 Ha/atom
1.0
3.5924 0.0000 0.0000
-1.7962 3.1111 0.0000
0.0000 0.0000 12.4834
Tb Sc C S
2 2 2 2
Direct
0.3333 0.6667 0.3892
0.6667 0.3333 0.6108
0.3333 0.6667 0.0964
0.6667 0.3333 0.9036
0.0000 0.0000 0.0000
0.0000 0.0000 0.5000
0.3333 0.6667 0.7658
0.6667 0.3333 0.2342

---

Lu4Sc2In3C3, relaxed, DFT GGA-PBE; SG = C2/c; spin magnetization = 0.0 μB/f.u.; VASP energy = -0.2222 Ha/atom
1.0
5.1835 -2.9931 0.0000
5.1835 2.9931 0.0000
-3.4615 0.0000 15.7663
Lu Sc In C
8 4 6 6
Direct
0.0293 0.1936 0.0839
0.1377 0.3053 0.4161
0.1936 0.0293 0.5839
0.3053 0.1377 0.9161
0.6947 0.8623 0.0839
0.8064 0.9707 0.4161
0.8623 0.6947 0.5839
0.9707 0.8064 0.9161
0.3578 0.5251 0.0757
0.4749 0.6422 0.4243
0.5251 0.3578 0.5757
0.6422 0.4749 0.9243
0.1066 0.8934 0.2500
0.2714 0.4178 0.7504
0.4178 0.2714 0.2504
0.5822 0.7286 0.7496
0.7286 0.5822 0.2496
0.8934 0.1066 0.7500
0.0000 0.5000 0.0000
0.1735 0.6633 0.5000
0.3367 0.8265 0.0000
0.5000 0.0000 0.5000
0.6633 0.1735 0.0000
0.8265 0.3367 0.5000

---

KZn2Cd2P3, relaxed, DFT GGA-PBE; energy above the lowest structure with this stoichiometry = 0 meV per atom; SG = R-3m; VASP energy = -0.1090 Ha/atom
1.0
2.0591 1.1888 12.3770
-2.0591 1.1888 12.3770
0.0000 -2.3777 12.3770
K Zn Cd P
1 2 2 3
Direct
0.0000 0.0000 0.0000
0.4045 0.4045 0.4045
0.5955 0.5955 0.5955
0.1999 0.1999 0.1999
0.8001 0.8001 0.8001
0.2700 0.2700 0.2700
0.5000 0.5000 0.5000
0.7300 0.7300 0.7300

---

PuHfGa, relaxed, DFT GGA-PBE; energy above the lowest structure with this stoichiometry = 0 meV per atom; SG = F-43m; spin magnetization = 6.1 μB/f.u.; VASP energy = -0.3263 Ha/atom
1.0
0.0000 3.2503 3.2503
3.2503 0.0000 3.2503
3.2503 3.2503 0.0000
Pu Hf Ga
1 1 1
Direct
0.0000 0.0000 0.0000
0.5000 0.5000 0.5000
0.7500 0.7500 0.7500

---

Re5Mo, relaxed, DFT GGA-PBE; energy above the lowest structure with this stoichiometry = 0 meV per atom; SG = P6_322; spin magnetization = 0.0 μB/f.u.; VASP energy = -0.4442 Ha/atom; formation energy = 7.0 kJ/mol of atoms
1.0
4.8161 0.0000 0.0000
-2.4081 4.1709 0.0000
0.0000 0.0000 8.9797
Re Mo
10 2
Direct
0.0000 0.0000 0.2500
0.0000 0.0000 0.7500
0.0000 0.3321 0.0000
0.0000 0.6679 0.5000
0.3321 0.0000 0.0000
0.3321 0.3321 0.5000
0.3333 0.6667 0.2500
0.6667 0.3333 0.7500
0.6679 0.0000 0.5000
0.6679 0.6679 0.0000
0.3333 0.6667 0.7500
0.6667 0.3333 0.2500

---

ZrFeAgB, relaxed, DFT GGA-PBE; energy above the lowest structure with this stoichiometry = 212 meV per atom; SG = F-43m; spin magnetization = 1.6 μB/f.u.; VASP energy = -0.2184 Ha/atom
1.0
0.0000 3.0665 3.0665
3.0665 0.0000 3.0665
3.0665 3.0665 0.0000
Zr Fe Ag B
1 1 1 1
Direct
0.0000 0.0000 0.0000
0.7500 0.7500 0.7500
0.2500 0.2500 0.2500
0.5000 0.5000 0.5000

---

HfPtNO, relaxed, DFT GGA-PBE; energy above the lowest structure with this stoichiometry = 247 meV per atom; SG = Pmc2_1; spin magnetization = 0.0 μB/f.u.; VASP energy = -0.3116 Ha/atom
1.0
3.3951 0.0000 0.0000
0.0000 5.9869 0.0000
0.0000 0.0000 5.9992
Hf Pt N O
2 2 2 2
Direct
0.0000 0.2110 0.0000
0.0000 0.7890 0.5000
0.5000 0.2406 0.5952
0.5000 0.7594 0.0952
0.0000 0.0804 0.6771
0.0000 0.9196 0.1771
0.5000 0.3551 0.1079
0.5000 0.6449 0.6079

---

RbCoPdS3, relaxed, DFT GGA-PBE; SG = P2_1/m; spin magnetization = 0.0 μB/f.u.; VASP energy = -0.1734 Ha/atom
1.0
8.1668 0.0000 0.0000
0.0000 3.5435 0.0000
-3.1814 0.0000 8.9785
Rb Co Pd S
2 2 2 6
Direct
0.2176 0.2500 0.2541
0.7824 0.7500 0.7459
0.3489 0.7500 0.8619
0.6511 0.2500 0.1381
0.1083 0.2500 0.5890
0.8917 0.7500 0.4110
0.1661 0.2500 0.8584
0.2960 0.7500 0.6105
0.4652 0.7500 0.1131
0.5348 0.2500 0.8869
0.7040 0.2500 0.3895
0.8339 0.7500 0.1416

---

ErZnSb3, relaxed, DFT GGA-PBE; SG = Cmmm; spin magnetization = 0.0 μB/f.u.; VASP energy = -0.1421 Ha/atom
1.0
2.2554 -16.0927 0.0000
2.2554 16.0927 0.0000
0.0000 0.0000 4.0542
Er Zn Sb
2 2 6
Direct
0.1568 0.8432 0.0000
0.8432 0.1568 0.0000
0.3775 0.6225 0.5000
0.6225 0.3775 0.5000
0.0695 0.9305 0.5000
0.2989 0.7011 0.5000
0.4385 0.5615 0.0000
0.5615 0.4385 0.0000
0.7011 0.2989 0.5000
0.9305 0.0695 0.5000

---

YAg3Pd4O12, relaxed, DFT GGA-PBE; SG = Im-3; spin magnetization = 0.0 μB/f.u.; VASP energy = -0.1979 Ha/atom
1.0
-3.8523 3.8523 3.8523
3.8523 -3.8523 3.8523
3.8523 3.8523 -3.8523
Y Ag Pd O
1 3 4 12
Direct
0.0000 0.0000 0.0000
0.0000 0.5000 0.5000
0.5000 0.0000 0.5000
0.5000 0.5000 0.0000
0.0000 0.0000 0.5000
0.0000 0.5000 0.0000
0.5000 0.0000 0.0000
0.5000 0.5000 0.5000
0.1189 0.2879 0.8310
0.1690 0.4569 0.2879
0.1690 0.8811 0.7121
0.2879 0.1690 0.4569
0.2879 0.8310 0.1189
0.4569 0.2879 0.1690
0.5431 0.7121 0.8310
0.7121 0.1690 0.8811
0.7121 0.8310 0.5431
0.8310 0.1189 0.2879
0.8310 0.5431 0.7121
0.8811 0.7121 0.1690

---

BiPd124, relaxed, DFT GGA-PBE; SG = Fm-3m; VASP energy = -0.1902 Ha/atom
1.0
0.0000 9.8123 9.8123
9.8123 0.0000 9.8123
9.8123 9.8123 0.0000
Bi Pd
1 124
Direct
0.0000 0.0000 0.0000
0.0000 0.0000 0.2030
0.0000 0.0000 0.4009
0.0000 0.0000 0.5991
0.0000 0.0000 0.7970
0.0000 0.2004 0.2004
0.0000 0.2000 0.4000
0.0000 0.2004 0.5991
0.0000 0.2030 0.0000
0.0000 0.2030 0.7970
0.0000 0.4000 0.2000
0.0000 0.4000 0.4000
0.0000 0.4009 0.0000
0.0000 0.4009 0.5991
0.0000 0.4009 0.7996
0.0000 0.5991 0.0000
0.0000 0.5991 0.2004
0.0000 0.5991 0.4009
0.0000 0.6000 0.6000
0.0000 0.6000 0.8000
0.0000 0.7970 0.0000
0.0000 0.7970 0.2030
0.0000 0.7996 0.4009
0.0000 0.8000 0.6000
0.0000 0.7996 0.7996
0.2004 0.0000 0.2004
0.2000 0.0000 0.4000
0.2004 0.0000 0.5991
0.2004 0.2004 0.0000
0.2000 0.2000 0.2000
0.2000 0.2000 0.3999
0.2004 0.2004 0.5991
0.2000 0.4000 0.0000
0.2000 0.3999 0.2000
0.2000 0.4000 0.4000
0.2000 0.4002 0.5998
0.2000 0.4002 0.8000
0.2004 0.5991 0.0000
0.2004 0.5991 0.2004
0.2000 0.5998 0.4002
0.1999 0.6000 0.6000
0.2000 0.5998 0.8000
0.2000 0.8000 0.4002
0.2000 0.8000 0.5998
0.2006 0.2006 0.7994
0.2006 0.7994 0.2006
0.2006 0.7994 0.7994
0.2030 0.0000 0.0000
0.2030 0.0000 0.7970
0.2030 0.7970 0.0000
0.4000 0.0000 0.2000
0.4000 0.0000 0.4000
0.4000 0.2000 0.0000
0.3999 0.2000 0.2000
0.4000 0.2000 0.4000
0.4002 0.2000 0.5998
0.4002 0.2000 0.8000
0.4000 0.4000 0.0000
0.4000 0.4000 0.2000
0.4000 0.4000 0.4000
0.4000 0.4000 0.6000
0.4000 0.4000 0.8001
0.4002 0.5998 0.2000
0.4000 0.6000 0.4000
0.4000 0.6000 0.6000
0.4002 0.5998 0.8000
0.4002 0.8000 0.2000
0.4000 0.8001 0.4000
0.4002 0.8000 0.5998
0.4009 0.0000 0.0000
0.4009 0.0000 0.5991
0.4009 0.0000 0.7996
0.4009 0.5991 0.0000
0.4009 0.7996 0.0000
0.4009 0.7996 0.7996
0.5991 0.0000 0.0000
0.5991 0.0000 0.2004
0.5991 0.0000 0.4009
0.5991 0.2004 0.0000
0.5991 0.2004 0.2004
0.5991 0.4009 0.0000
0.6000 0.0000 0.6000
0.6000 0.0000 0.8000
0.5998 0.2000 0.4002
0.6000 0.1999 0.6000
0.5998 0.2000 0.8000
0.5998 0.4002 0.2000
0.6000 0.4000 0.4000
0.6000 0.4000 0.6000
0.5998 0.4002 0.8000
0.6000 0.6000 0.0000
0.6000 0.6000 0.1999
0.6000 0.6000 0.4000
0.6000 0.6000 0.6000
0.6000 0.6000 0.8000
0.6000 0.8000 0.0000
0.5998 0.8000 0.2000
0.5998 0.8000 0.4002
0.6000 0.8000 0.6000
0.6001 0.8000 0.8000
0.7970 0.0000 0.0000
0.7970 0.0000 0.2030
0.7970 0.2030 0.0000
0.7994 0.2006 0.2006
0.7994 0.2006 0.7994
0.7994 0.7994 0.2006
0.7996 0.0000 0.4009
0.8000 0.0000 0.6000
0.7996 0.0000 0.7996
0.8000 0.2000 0.4002
0.8000 0.2000 0.5998
0.8000 0.4002 0.2000
0.8001 0.4000 0.4000
0.8000 0.4002 0.5998
0.7996 0.4009 0.0000
0.7996 0.4009 0.7996
0.8000 0.6000 0.0000
0.8000 0.5998 0.2000
0.8000 0.5998 0.4002
0.8000 0.6000 0.6000
0.8000 0.6001 0.8000
0.7996 0.7996 0.0000
0.7996 0.7996 0.4009
0.8000 0.8000 0.6001
0.8000 0.8000 0.8000